{
  "formula": "SmGa4Sn",
  "functional": "PBE",
  "state": "relaxed",
  "e_form_ev_per_atom": -0.2650,
  "dft_energy_ev_per_cell": -22.42,
  "magmom_total_mub_per_cell": 0.0,
  "lattice_angstrom": [[5.6253, 0.0000, 0.0000], [2.8127, 4.8717, 0.0000], [2.8127, 1.6239, 4.5930]],
  "species": ["Ga", "Ga", "Ga", "Ga", "Sn", "Sm"],
  "fractional_positions": [[0.6253, 0.6253, 0.1242], [0.6253, 0.1242, 0.6253], [0.1242, 0.6253, 0.6253], [0.6253, 0.6253, 0.6253], [0.0000, 0.0000, 0.0000], [0.2500, 0.2500, 0.2500]]
}